Density functional theory data (PBE+U) for a geometry-optimized MoPO5 structure.

Summary:
Energy relative to the lowest polymorph listed for this composition in meV/atom: 2
Space-group type: No. 9
Raw total energy in eV/atom: -7.261

a b c (Å): 5.2748 5.2748 7.5002
angles (deg): 109.84 109.84 89.17
Fractional coordinates of all 14 atoms:
Mo1 0.2357 0.7643 0.5000
Mo2 0.7643 0.2357 0.0000
P1 0.1591 0.4108 0.7830
P2 0.4108 0.1591 0.2830
O1 0.1114 0.1287 0.6147
O2 0.1287 0.1114 0.1147
O3 0.1290 0.6392 0.6945
O4 0.4379 0.9366 0.3775
O5 0.4432 0.4503 0.9473
O6 0.4503 0.4432 0.4473
O7 0.6044 0.9546 0.7807
O8 0.6392 0.1290 0.1945
O9 0.9366 0.4379 0.8775
O10 0.9546 0.6044 0.2807